Below is a geometry-optimized Y2TmGe2 structure, with properties calculated at the GGA-PBE level.

It has space group C2/m (No. 12), with a = 12.202 Å, b = 4.360 Å, c = 10.464 Å, α = 90.00°, β = 117.05° and γ = 90.00°. The asymmetric unit holds Y at (0.018, 0.000, 0.187), Y at (0.182, 0.000, 0.587), Tm at (0.218, 0.500, 0.860), Ge at (0.026, 0.500, 0.391) and Ge at (0.120, 0.500, 0.066).

For the magnetization, the calculation gives 0.0 μB/f.u. For the energy of formation, the calculation gives -3.56 eV per formula unit. The value obtained for the total energy is -0.4438 Ry per atom.